Record 1
InSiW4 (GGA-PBE, relaxed); uncorrected formation energy = 0.72 eV per atom; magnetic moment = 0.0 Bohr magnetons per cell; E_tot = -9.271 eV per atom; SG = F-43m, No. 216
1.0
0.000 3.764 3.764
3.764 0.000 3.764
3.764 3.764 0.000
In Si W
1 1 4
Direct
0.000 0.000 0.000
0.750 0.750 0.750
0.375 0.375 0.375
0.375 0.375 0.876
0.375 0.876 0.375
0.876 0.375 0.375


Record 2
In2SiW (GGA-PBE, relaxed); uncorrected formation energy = 0.32 eV per atom; magnetic moment = 0.0 Bohr magnetons per cell; E_tot = -5.644 eV per atom; SG = Pmm2, No. 25
1.0
3.253 0.000 0.000
0.000 3.293 0.000
0.000 0.000 7.572
In Si W
2 1 1
Direct
0.000 0.000 0.000
0.500 0.500 0.339
0.000 0.000 0.609
0.500 0.500 0.742


Record 3
InSiW2 (GGA-PBE, relaxed); uncorrected formation energy = 0.74 eV per atom; magnetic moment = 0.0 Bohr magnetons per cell; E_tot = -7.782 eV per atom; SG = Cmmm, No. 65
1.0
5.605 0.000 0.000
0.000 8.497 0.000
0.000 0.000 2.791
In Si W
2 2 4
Direct
0.000 0.000 0.000
0.500 0.500 0.000
0.000 0.500 0.000
0.500 0.000 0.000
0.250 0.250 0.500
0.250 0.750 0.500
0.750 0.250 0.500
0.750 0.750 0.500


Q: Which formula does entry 3 have?
A: InSiW2


Q: E_tot of number 1 (InSiW4)?
A: -9.271 eV per atom


Q: Among the records above, which one has the highest E_tot?
A: In2SiW


Copy entry 2 word for word.
In2SiW (GGA-PBE, relaxed); uncorrected formation energy = 0.32 eV per atom; magnetic moment = 0.0 Bohr magnetons per cell; E_tot = -5.644 eV per atom; SG = Pmm2, No. 25
1.0
3.253 0.000 0.000
0.000 3.293 0.000
0.000 0.000 7.572
In Si W
2 1 1
Direct
0.000 0.000 0.000
0.500 0.500 0.339
0.000 0.000 0.609
0.500 0.500 0.742